[1]
PuTi3Sb2 GGA-PBE relaxed; Fermi-level density of states = 2.242 states/eV/atom; energy relative to the elements, uncorrected = -0.364 eV per atom; theoretical density = 7.863 g/cm³
1.0
-3.4553 1.0955 -1.8031
4.6659 -3.4846 -6.5133
-4.3022 -5.6802 4.7929
Pu Ti Sb
2 6 4
direct
0.8656 0.7311 0.9581
0.1344 0.2689 0.0419
0.3104 0.6208 0.5240
0.9426 0.8851 0.5762
0.5858 0.1715 0.6667
0.4142 0.8285 0.3333
0.0574 0.1149 0.4238
0.6896 0.3792 0.4760
0.4713 0.9426 0.8152
0.5287 0.0574 0.1848
0.7844 0.5688 0.2619
0.2156 0.4312 0.7381

[2]
Mn3CdH GGA-PBE relaxed; offset from the most stable computed form = 1424 meV/atom; Fermi-level density of states = 0.207 states/eV/atom; theoretical density = 3.398 g/cm³
1.0
-4.7805 1.6349 -0.9560
-1.4919 -1.6523 4.6351
1.1665 4.5866 2.0105
H Mn Cd
1 3 1
direct
0.5000 0.5000 0.5000
0.0000 0.5000 0.0000
0.0000 0.0000 0.5000
0.5000 0.0000 0.0000
0.0000 0.0000 0.0000

[3]
Li2Zn2Sn3 GGA-PBE relaxed; Fermi-level density of states = 0.226 states/eV/atom; energy of formation from the pure elements = -74 meV per atom; theoretical density = 5.333 g/cm³
1.0
5.2167 -0.0208 -0.6897
-3.1129 4.1637 -0.8145
1.0872 -0.7849 7.2873
Li Zn Sn
2 2 3
direct
0.2041 0.5900 0.7941
0.7959 0.4100 0.2059
0.4536 0.7140 0.1676
0.5464 0.2860 0.8324
0.0000 0.0000 0.0000
0.6898 0.8733 0.5631
0.3102 0.1267 0.4369